1.
A geometry-optimized NiHgSN2 structure, computed with PBE.

Summary:
- formation energy from raw total energies (eV/f.u.) = 11.2
- space group = P4/mmm (123)
- Fermi-level density of states (states/eV per cell) = 3.7
- E above lowest polymorph (eV/atom) = 1.069

Unit cell a=4.109 b=4.109 c=5.574 alpha=90.00 beta=90.00 gamma=90.00
Last column: magnetic moment on the atom in μB.
Fractional positions:
N: 0.500 0.000 0.000  1.05
Hg: 0.000 0.000 0.000  0.11
N: 0.000 0.500 0.000  1.05
S: 0.000 0.000 0.500  0.29
Ni: 0.500 0.500 0.500  1.21


2.
A geometry-optimized YMnTe2 structure, computed with PBE.

Summary:
- formation energy from raw total energies (eV/f.u.) = -0.5
- space group = I-42d (122)
- Fermi-level density of states (states/eV per cell) = 16.2

Unit cell a=6.146 b=6.146 c=7.912 alpha=67.15 beta=67.15 gamma=90.00
Last column: magnetic moment on the atom in μB.
Fractional positions:
Mn: 0.500 0.500 0.000  -0.07
Y: 0.750 0.250 0.500  0.01
Te: 0.875 0.808 0.750  0.00
Te: 0.375 0.442 0.750  0.00
Te: 0.558 0.125 0.250  0.00
Mn: 0.250 0.750 0.500  -0.06
Y: 0.000 0.000 0.000  0.01
Te: 0.192 0.625 0.250  0.00


3.
A geometry-optimized Te4AuS structure, computed with PBE.

Summary:
- formation energy from raw total energies (eV/f.u.) = 0.6
- space group = C2/c (15)
- Fermi-level density of states (states/eV per cell) = 4.6

Unit cell a=3.884 b=8.399 c=11.463 alpha=96.90 beta=99.75 gamma=90.00
Fractional positions:
Te: 0.326 0.920 0.153
Te: 0.674 0.080 0.847
Te: 0.173 0.580 0.847
S: 0.594 0.750 0.000
Au: 0.500 0.000 0.500
Te: 0.576 0.262 0.655
Te: 0.080 0.762 0.655
Te: 0.920 0.238 0.345
Au: 0.000 0.500 0.500
Te: 0.424 0.738 0.345
Te: 0.827 0.420 0.153
S: 0.406 0.250 0.000